[1]
VASP calculation (PBE) on a relaxed structure of NaMg2NiH8.

Cell and atoms, written as CIF:
```
data_NaMg2NiH8
_chemical_formula_sum 'Na1 Mg2 Ni1 H8'
_cell_length_a 4.2955
_cell_length_b 4.2955
_cell_length_c 7.6430
_cell_angle_alpha 90.00
_cell_angle_beta 90.00
_cell_angle_gamma 120.00
_space_group_name_H-M_alt 'P -3 m 1'
_space_group_IT_number 164
_space_group_name_Hall '-P 3 2"'
loop_
_atom_site_label
_atom_site_type_symbol
_atom_site_fract_x
_atom_site_fract_y
_atom_site_fract_z
_atom_site_occupancy
Na1 Na 0.0000 0.0000 0.0000 1
Mg1 Mg 0.3333 0.6667 0.3510 1
Ni1 Ni 0.0000 0.0000 0.5000 1
H1 H 0.1713 0.3425 0.6182 1
H2 H 0.3333 0.6667 0.1141 1
```

## Properties
As for the calculated density: 1.88 g cm⁻³. The value obtained for the energy is -38.37 eV per formula unit. The calculation puts the spin magnetization at 0.00 μB/f.u.

[2]
VASP calculation (PBE) on a relaxed structure of CuNiAg2.

Cell and atoms, written as CIF:
```
data_CuNiAg2
_chemical_formula_sum 'Cu1 Ni1 Ag2'
_cell_length_a 3.7475
_cell_length_b 3.9447
_cell_length_c 3.9671
_cell_angle_alpha 90.00
_cell_angle_beta 90.00
_cell_angle_gamma 90.00
_space_group_name_H-M_alt 'P m m m'
_space_group_IT_number 47
_space_group_name_Hall '-P 2 2'
loop_
_atom_site_label
_atom_site_type_symbol
_atom_site_fract_x
_atom_site_fract_y
_atom_site_fract_z
_atom_site_occupancy
Cu1 Cu 0.0000 0.0000 0.0000 1
Ni1 Ni 0.0000 0.5000 0.5000 1
Ag1 Ag 0.5000 0.0000 0.5000 1
Ag2 Ag 0.5000 0.5000 0.0000 1
```

## Properties
As for the formation energy from the elements: 0.8 eV/f.u. As for the calculated density: 9.57 g cm⁻³. The value obtained for the energy is -14.75 eV per formula unit. The calculation puts the spin magnetization at 0.00 μB/f.u. The value obtained for the energy above the most stable polymorph in this dataset is 78 meV/atom.

[3]
VASP calculation (PBE) on a relaxed structure of BeReRh.

Cell and atoms, written as CIF:
```
data_BeReRh
_chemical_formula_sum 'Be2 Re2 Rh2'
_cell_length_a 2.7037
_cell_length_b 4.6835
_cell_length_c 6.5651
_cell_angle_alpha 71.69
_cell_angle_beta 78.21
_cell_angle_gamma 74.11
_space_group_name_H-M_alt 'P -1'
_space_group_IT_number 2
_space_group_name_Hall '-P 1'
loop_
_atom_site_label
_atom_site_type_symbol
_atom_site_fract_x
_atom_site_fract_y
_atom_site_fract_z
_atom_site_occupancy
Be1 Be 0.1902 0.2146 0.4175 1
Re1 Re 0.1382 0.7727 0.9173 1
Rh1 Rh 0.4951 0.7011 0.2960 1
```

## Properties
As for the formation energy from the elements: -0.5 eV/f.u. As for the calculated density: 13.15 g cm⁻³. The value obtained for the energy is -24.06 eV per formula unit. The calculation puts the spin magnetization at 0.00 μB/f.u. The value obtained for the energy above the most stable polymorph in this dataset is 100 meV/atom.